[1]
Density functional theory data (PBE-GGA) for a relaxed IrRhSe crystal.

Uncorrected energy: -6.11 eV/atom
Relative energy among the computed polymorphs: 264 meV/atom
Uncorrected formation energy: 0.45 eV per atom

Lattice parameters (Å, degrees): 2.796 4.898 13.735 90.00 90.00 90.00
Space group Fmm2 (No. 42)
Inequivalent atoms, fractional coordinates:
1 Ir 0.000 0.000 0.000 x4
2 Rh 0.000 0.000 0.664 x4
3 Se 0.000 0.000 0.331 x4


[2]
Density functional theory data (PBE-GGA) for a relaxed IrRhSe6 crystal.

Uncorrected energy: -4.89 eV/atom
Uncorrected formation energy: -0.25 eV per atom

Lattice parameters (Å, degrees): 6.008 6.067 6.099 118.64 114.60 93.27
Space group P-1 (No. 2)
Inequivalent atoms, fractional coordinates:
1 Ir 0.000 0.000 0.000 x1
2 Rh 0.500 0.500 0.000 x1
3 Se 0.192 0.463 0.161 x2
4 Se 0.204 0.074 0.497 x2
5 Se 0.313 0.803 0.862 x2


[3]
Density functional theory data (PBE-GGA) for a relaxed IrRh2Se crystal.

Uncorrected energy: -6.49 eV/atom
Uncorrected formation energy: 0.28 eV per atom

Lattice parameters (Å, degrees): 2.922 4.519 9.079 90.00 90.00 90.00
Space group Immm (No. 71)
Inequivalent atoms, fractional coordinates:
1 Ir 0.000 0.000 0.000 x2
2 Rh 0.000 0.500 0.228 x4
3 Se 0.000 0.000 0.500 x2


[4]
Density functional theory data (PBE-GGA) for a relaxed IrRhSe2 crystal.

Uncorrected energy: -5.92 eV/atom
Uncorrected formation energy: -0.12 eV per atom

Lattice parameters (Å, degrees): 3.949 3.934 6.146 90.00 107.06 90.00
Space group Pm (No. 6)
Inequivalent atoms, fractional coordinates:
1 Ir 0.000 0.000 0.000 x1
2 Rh 0.505 0.500 0.007 x1
3 Se 0.120 0.500 0.258 x1
4 Se 0.384 0.000 0.747 x1


[5]
Density functional theory data (PBE-GGA) for a relaxed IrRh2Se crystal.

Uncorrected energy: -6.34 eV/atom
Uncorrected formation energy: 0.42 eV per atom

Lattice parameters (Å, degrees): 2.761 4.829 9.235 90.00 90.00 90.00
Space group Cmm2 (No. 35)
Inequivalent atoms, fractional coordinates:
1 Ir 0.000 0.000 0.000 x2
2 Rh 0.000 0.000 0.496 x2
3 Rh 0.000 0.500 0.245 x2
4 Se 0.000 0.500 0.739 x2


[6]
Density functional theory data (PBE-GGA) for a relaxed IrRhSe3 crystal.

Uncorrected energy: -4.36 eV/atom
Relative energy among the computed polymorphs: 0 meV/atom
Uncorrected formation energy: 0.97 eV per atom

Lattice parameters (Å, degrees): 4.866 4.866 4.866 90.00 90.00 90.00
Space group Pm-3m (No. 221)
Inequivalent atoms, fractional coordinates:
1 Ir 0.000 0.000 0.000 x1
2 Rh 0.500 0.500 0.500 x1
3 Se 0.000 0.000 0.500 x3


[7]
Density functional theory data (PBE-GGA) for a relaxed IrRh2Se crystal.

Uncorrected energy: -6.51 eV/atom
Uncorrected formation energy: 0.25 eV per atom

Lattice parameters (Å, degrees): 2.860 3.729 5.684 90.00 90.00 90.00
Space group Pmm2 (No. 25)
Inequivalent atoms, fractional coordinates:
1 Ir 0.000 0.000 0.000 x1
2 Rh 0.000 0.000 0.486 x1
3 Rh 0.500 0.500 0.224 x1
4 Se 0.500 0.500 0.698 x1


[8]
Density functional theory data (PBE-GGA) for a relaxed Ir3RhSe crystal.

Uncorrected energy: -5.44 eV/atom
Relative energy among the computed polymorphs: 563 meV/atom
Uncorrected formation energy: 2.04 eV per atom

Lattice parameters (Å, degrees): 4.723 4.723 4.723 90.00 90.00 90.00
Space group Pm-3m (No. 221)
Inequivalent atoms, fractional coordinates:
1 Ir 0.000 0.000 0.500 x3
2 Rh 0.000 0.000 0.000 x1
3 Se 0.500 0.500 0.500 x1


[9]
Density functional theory data (PBE-GGA) for a relaxed IrRh2Se crystal.

Uncorrected energy: -6.20 eV/atom
Uncorrected formation energy: 0.57 eV per atom

Lattice parameters (Å, degrees): 5.259 5.259 12.307 90.00 90.00 90.00
Space group I-42d (No. 122)
Inequivalent atoms, fractional coordinates:
1 Ir 0.000 0.000 0.000 x4
2 Rh 0.245 0.250 0.625 x8
3 Se 0.000 0.000 0.500 x4


[10]
Density functional theory data (PBE-GGA) for a relaxed IrRhSe2 crystal.

Uncorrected energy: -5.51 eV/atom
Uncorrected formation energy: 0.28 eV per atom

Lattice parameters (Å, degrees): 2.956 4.566 9.753 90.00 90.00 90.00
Space group Imm2 (No. 44)
Inequivalent atoms, fractional coordinates:
1 Ir 0.000 0.000 0.000 x2
2 Rh 0.000 0.500 0.753 x2
3 Se 0.000 0.000 0.484 x2
4 Se 0.000 0.500 0.279 x2


[11]
Density functional theory data (PBE-GGA) for a relaxed IrRhSe crystal.

Uncorrected energy: -6.38 eV/atom
Relative energy among the computed polymorphs: 0 meV/atom
Uncorrected formation energy: 0.19 eV per atom

Lattice parameters (Å, degrees): 3.9730 3.9730 3.5180 90.00 90.00 120.00
Space group P3m1 (No. 156)
Inequivalent atoms, fractional coordinates:
1 Ir 0.0000 0.0000 0.0000 x1
2 Rh 0.3333 0.6667 0.4800 x1
3 Se 0.6667 0.3333 0.7707 x1


[12]
Density functional theory data (PBE-GGA) for a relaxed IrRh2Se crystal.

Uncorrected energy: -6.52 eV/atom
Uncorrected formation energy: 0.24 eV per atom

Lattice parameters (Å, degrees): 8.972 2.882 4.806 90.00 104.13 90.00
Space group C2/m (No. 12)
Inequivalent atoms, fractional coordinates:
1 Ir 0.000 0.000 0.000 x2
2 Rh 0.243 0.000 0.755 x4
3 Se 0.000 0.500 0.500 x2